{
  "formula": "Li2Sm2HoGe2",
  "functional": "PBE-GGA",
  "state": "relaxed",
  "cell": [[4.422, 0.000, 0.000], [2.211, 3.830, 0.000], [2.211, 1.277, 9.472]],
  "species": ["Li", "Li", "Sm", "Sm", "Ho", "Ge", "Ge"],
  "frac_coords": [[0.610, 0.610, 0.171], [0.390, 0.390, 0.829], [0.123, 0.123, 0.630], [0.877, 0.877, 0.370], [0.000, 0.000, 0.000], [0.729, 0.729, 0.812], [0.271, 0.271, 0.188]],
  "delta_e_f_ev_per_atom": -0.484,
  "spacegroup": "R-3m, No. 166",
  "crystal_system": "trigonal"
}